# 1
Material: SbPW4
Method: DFT, PBE
State: optimized geometry

The energy relative to the elements, uncorrected is 0.865 eV per atom.

It has space group F-43m (No. 216), with a = 7.564 Å, b = 7.564 Å, c = 7.564 Å, α = 90.00°, β = 90.00° and γ = 90.00°. The asymmetric unit holds Sb at (0.000, 0.000, 0.000), P at (0.250, 0.250, 0.250) and W at (0.124, 0.124, 0.624).

=====

# 2
Material: Pr3Ga5Se12
Method: DFT, PBE
State: optimized geometry

The energy relative to the elements, uncorrected is -1.028 eV per atom.

It has space group Ia-3d (No. 230), with a = 16.126 Å, b = 16.126 Å, c = 16.126 Å, α = 90.00°, β = 90.00° and γ = 90.00°. The asymmetric unit holds Pr at (0.000, 0.250, 0.125), Ga at (0.000, 0.000, 0.000), Ga at (0.000, 0.250, 0.375) and Se at (0.027, 0.058, 0.649).

=====

# 3
Material: Tb2TmAgC
Method: DFT, PBE
State: optimized geometry

The energy relative to the elements is -0.21 eV/atom.

It has space group P4/mmm (No. 123), with a = 4.959 Å, b = 4.959 Å, c = 4.750 Å, α = 90.00°, β = 90.00° and γ = 90.00°. The asymmetric unit holds Tb at (0.000, 0.500, 0.000), Tm at (0.000, 0.000, 0.500), Ag at (0.500, 0.500, 0.500) and C at (0.000, 0.000, 0.000).